No. 1
PaZn2O4 after structural relaxation, computed with PBE.

Results
Raw formation energy   -2.19 eV/atom

Geometry as POSCAR:
```
PaZn2O4
1.0
3.594 0.000 0.000
0.000 5.298 0.000
0.000 0.000 10.089
O Zn Pa
8 4 2
Direct
0.000 0.831 0.375
0.000 0.331 0.125
0.500 0.650 0.625
0.000 0.669 0.875
0.500 0.850 0.125
0.000 0.169 0.625
0.500 0.150 0.875
0.500 0.350 0.375
0.500 0.524 0.825
0.500 0.024 0.675
0.500 0.976 0.325
0.500 0.476 0.175
0.000 0.500 0.500
0.000 0.000 0.000
```

No. 2
PaZnO6 after structural relaxation, computed with PBE.

Results
Raw formation energy   -1.18 eV/atom

Geometry as POSCAR:
```
PaZnO6
1.0
-0.971 -5.464 1.039
2.379 -3.958 -3.249
4.121 -3.255 2.076
O Pa Zn
6 1 1
Direct
0.251 0.749 0.749
0.251 0.749 0.251
0.749 0.251 0.749
0.749 0.749 0.251
0.749 0.251 0.251
0.251 0.251 0.749
0.500 0.500 0.500
0.000 0.000 0.000
```

No. 3
PaZnO2 after structural relaxation, computed with PBE.

Results
Raw formation energy   -2.18 eV/atom

Geometry as POSCAR:
```
PaZnO2
1.0
3.621 0.000 0.000
1.810 3.136 0.000
1.810 1.045 8.435
O Pa Zn
2 1 1
Direct
0.130 0.130 0.609
0.870 0.870 0.391
0.500 0.500 0.500
0.000 0.000 0.000
```

No. 4
PaZn2O5 after structural relaxation, computed with PBE.

Results
Raw formation energy   -1.88 eV/atom

Geometry as POSCAR:
```
PaZn2O5
1.0
5.940 0.191 2.417
2.811 5.333 1.577
0.848 1.004 5.925
Zn O Pa
2 5 1
Direct
0.670 0.605 0.024
0.644 0.025 0.605
0.934 0.352 0.751
0.686 0.285 0.285
0.810 0.872 0.879
0.384 0.877 0.871
0.909 0.751 0.352
0.962 0.010 0.010
```

No. 5
Pa5Zn3O16 after structural relaxation, computed with PBE.

Results
Raw formation energy   -2.79 eV/atom

Geometry as POSCAR:
```
Pa5Zn3O16
1.0
6.097 -0.659 -0.371
2.400 5.643 -0.371
-0.604 -0.355 10.289
Pa O Zn
5 16 3
Direct
0.338 0.839 0.776
0.168 0.168 0.282
0.387 0.387 0.028
0.615 0.615 0.480
0.839 0.338 0.776
0.497 0.497 0.669
0.302 0.846 0.377
0.962 0.962 0.164
0.089 0.449 0.151
0.907 0.494 0.625
0.541 0.541 0.165
0.449 0.089 0.151
0.364 0.364 0.394
0.182 0.698 0.914
0.698 0.182 0.914
0.846 0.302 0.377
0.494 0.907 0.625
0.792 0.792 0.384
0.007 0.007 0.692
0.206 0.206 0.884
0.678 0.678 0.888
0.871 0.871 0.980
0.077 0.691 0.294
0.691 0.077 0.294
```

No. 6
PaZn3O6 after structural relaxation, computed with PBE.

Results
Raw formation energy   -1.91 eV/atom

Geometry as POSCAR:
```
PaZn3O6
1.0
-3.609 3.857 1.393
-3.984 -3.246 -1.335
-0.198 -2.975 7.822
O Zn Pa
12 6 2
Direct
0.350 0.822 0.939
0.873 0.874 0.759
0.650 0.178 0.061
0.127 0.126 0.241
0.838 0.665 0.085
0.150 0.322 0.561
0.162 0.335 0.915
0.627 0.374 0.741
0.850 0.678 0.439
0.338 0.835 0.585
0.373 0.626 0.259
0.662 0.165 0.415
0.000 0.000 0.500
0.500 0.500 0.000
0.021 0.491 0.262
0.521 0.009 0.762
0.979 0.509 0.738
0.479 0.991 0.238
0.000 0.000 0.000
0.500 0.500 0.500
```

No. 7
PaZn2O6 after structural relaxation, computed with PBE.

Results
Raw formation energy   -1.82 eV/atom

Geometry as POSCAR:
```
PaZn2O6
1.0
4.260 0.000 -1.224
-0.254 3.470 -0.883
0.082 0.589 8.309
O Pa Zn
6 1 2
Direct
0.740 0.242 0.481
0.463 0.351 0.926
0.917 0.885 0.834
0.537 0.649 0.074
0.083 0.115 0.166
0.260 0.758 0.519
0.000 0.500 0.000
0.788 0.781 0.576
0.212 0.219 0.424
```

No. 8
Pa4ZnO10 after structural relaxation, computed with PBE.

Results
Raw formation energy   -3.27 eV/atom

Geometry as POSCAR:
```
Pa4ZnO10
1.0
4.914 0.000 2.219
2.457 6.037 1.110
-0.027 0.000 6.612
O Pa Zn
10 4 1
Direct
0.750 0.500 0.500
0.543 0.102 0.304
0.646 0.304 0.898
0.847 0.696 0.102
0.050 0.102 0.304
0.950 0.898 0.696
0.457 0.898 0.696
0.354 0.696 0.102
0.153 0.304 0.898
0.250 0.500 0.500
0.796 0.602 0.806
0.398 0.806 0.398
0.602 0.194 0.602
0.204 0.398 0.194
0.000 0.000 0.000
```